(1)
# NaPa4

An optimized crystal structure of NaPa4 (PBE, the Alexandria database).

Values from the calculation:
Formation energy   1679.2 meV per atom
Calculated volume   141.3 Å³/cell
Density of states at the Fermi level   10.61 states/eV per cell

a = 5.208 Å, b = 5.208 Å, c = 5.208 Å
α = 90.00°, β = 90.00°, γ = 90.00°
Space group Pm-3m (No. 221)
Inequivalent atoms, fractional coordinates:
Na (0.000, 0.000, 0.000)
Pa (0.000, 0.000, 0.500)
Pa (0.500, 0.500, 0.500)


(2)
# Ti2Nb5Ga4

An optimized crystal structure of Ti2Nb5Ga4 (PBE, the Alexandria database).

Values from the calculation:
Formation energy   6.2 meV per atom
Calculated volume   390.5 Å³/cell
Density of states at the Fermi level   17.80 states/eV per cell

a = 2.783 Å, b = 8.006 Å, c = 17.524 Å
α = 90.00°, β = 90.00°, γ = 90.00°
Space group Immm (No. 71)
Inequivalent atoms, fractional coordinates:
Ti (0.000, 0.000, 0.080)
Nb (0.000, 0.202, 0.346)
Nb (0.000, 0.500, 0.000)
Ga (0.000, 0.000, 0.223)
Ga (0.000, 0.281, 0.500)


(3)
# La8AlSi3Br4

An optimized crystal structure of La8AlSi3Br4 (PBE, the Alexandria database).

Values from the calculation:
Calculated volume   1485.1 Å³/cell
Density of states at the Fermi level   23.72 states/eV per cell
Formation energy (no corrections)   -1.045 eV/atom

a = 8.8330 Å, b = 8.8330 Å, c = 21.9789 Å
α = 90.00°, β = 90.00°, γ = 120.00°
Space group R-3m (No. 166, hexagonal axes)
Inequivalent atoms, fractional coordinates:
La (0.0000, 0.0000, 0.2387)
La (0.0061, 0.5031, 0.7591)
Al (0.0000, 0.0000, 0.5000)
Si (0.0000, 0.5000, 0.5000)
Br (0.0000, 0.0000, 0.0000)
Br (0.0000, 0.5000, 0.0000)


(4)
# Ti2CuS4

An optimized crystal structure of Ti2CuS4 (PBE, the Alexandria database).

Values from the calculation:
Calculated volume   1491.5 Å³/cell
Density of states at the Fermi level   43.06 states/eV per cell
Formation energy (no corrections)   -1.134 eV/atom

a = 7.0327 Å, b = 7.0327 Å, c = 34.8228 Å
α = 90.00°, β = 90.00°, γ = 120.00°
Space group R-3m (No. 166, hexagonal axes)
Inequivalent atoms, fractional coordinates:
Ti (0.0000, 0.0000, 0.0000)
Ti (0.0000, 0.0000, 0.5000)
Ti (0.0007, 0.5003, 0.4178)
Cu (0.0000, 0.0000, 0.1879)
Cu (0.0000, 0.0000, 0.3534)
S (0.0000, 0.0000, 0.1235)
S (0.0000, 0.0000, 0.2885)
S (0.0149, 0.5074, 0.7090)
S (0.0154, 0.5077, 0.1228)


(5)
# Ho2ThCd8

An optimized crystal structure of Ho2ThCd8 (PBE, the Alexandria database).

Values from the calculation:
Formation energy   -185.9 meV per atom
Calculated volume   537.1 Å³/cell
Density of states at the Fermi level   15.99 states/eV per cell

a = 8.287 Å, b = 15.790 Å, c = 5.355 Å
α = 90.00°, β = 129.95°, γ = 90.00°
Space group C2/m (No. 12)
Inequivalent atoms, fractional coordinates:
Ho (0.000, 0.188, 0.000)
Th (0.000, 0.500, 0.500)
Cd (0.000, 0.295, 0.500)
Cd (0.003, 0.000, 0.755)
Cd (0.229, 0.372, 0.231)


(6)
# Sr4MgS4O16

An optimized crystal structure of Sr4MgS4O16 (PBE, the Alexandria database).

Values from the calculation:
Calculated volume   418.3 Å³/cell
Excess energy over the best structure of this formula in the dataset   0 meV per atom
Formation energy (no corrections)   -2.024 eV/atom

a = 4.696 Å, b = 5.229 Å, c = 17.180 Å
α = 90.00°, β = 97.44°, γ = 90.00°
Space group Pm (No. 6)
Inequivalent atoms, fractional coordinates:
Sr (0.000, 0.000, 0.000)
Sr (0.146, 0.500, 0.335)
Sr (0.382, 0.500, 0.746)
Sr (0.737, 0.000, 0.582)
Mg (0.388, 0.500, 0.140)
S (0.167, 0.500, 0.559)
S (0.555, 0.500, 0.973)
S (0.597, 0.000, 0.358)
S (0.962, 0.000, 0.779)
O (0.250, 0.500, 0.480)
O (0.276, 0.000, 0.353)
O (0.279, 0.000, 0.779)
O (0.284, 0.268, 0.604)
O (0.401, 0.500, 0.894)
O (0.480, 0.267, 0.019)
O (0.681, 0.237, 0.319)
O (0.729, 0.000, 0.442)
O (0.844, 0.233, 0.735)
O (0.850, 0.500, 0.559)
O (0.873, 0.500, 0.974)
O (0.884, 0.000, 0.859)


(7)
# NbInSb

An optimized crystal structure of NbInSb (PBE, the Alexandria database).

Values from the calculation:
Calculated volume   553.2 Å³/cell
Density of states at the Fermi level   13.91 states/eV per cell
Formation energy (no corrections)   -0.013 eV/atom

a = 5.615 Å, b = 13.480 Å, c = 7.309 Å
α = 90.00°, β = 90.00°, γ = 90.00°
Space group Cmce (No. 64)
Inequivalent atoms, fractional coordinates:
Nb (0.000, 0.105, 0.097)
In (0.250, 0.064, 0.750)
Sb (0.000, 0.191, 0.452)


(8)
# ThGaCoNi3

An optimized crystal structure of ThGaCoNi3 (PBE, the Alexandria database).

Values from the calculation:
Formation energy   -210.7 meV per atom
Calculated volume   359.5 Å³/cell
Density of states at the Fermi level   24.03 states/eV per cell

a = 5.193 Å, b = 13.551 Å, c = 5.109 Å
α = 90.00°, β = 90.00°, γ = 90.00°
Space group Cmcm (No. 63)
Inequivalent atoms, fractional coordinates:
Th (0.000, 0.174, 0.250)
Ga (0.000, 0.392, 0.250)
Co (0.000, 0.142, 0.750)
Ni (0.000, 0.349, 0.750)
Ni (0.233, 0.000, 0.000)


(9)
# V2NiRh

An optimized crystal structure of V2NiRh (PBE, the Alexandria database).

Values from the calculation:
Formation energy   -149.7 meV per atom
Calculated volume   52.4 Å³/cell
Density of states at the Fermi level   6.70 states/eV per cell

a = 3.162 Å, b = 3.162 Å, c = 5.242 Å
α = 90.00°, β = 90.00°, γ = 90.00°
Space group P4/mmm (No. 123)
Inequivalent atoms, fractional coordinates:
V (0.000, 0.000, 0.234)
Ni (0.500, 0.500, 0.000)
Rh (0.500, 0.500, 0.500)


(10)
# Ba2ZrHgS5

An optimized crystal structure of Ba2ZrHgS5 (PBE, the Alexandria database).

Values from the calculation:
Calculated volume   958.3 Å³/cell
Formation energy (no corrections)   -1.483 eV/atom

a = 4.049 Å, b = 18.452 Å, c = 12.828 Å
α = 90.00°, β = 90.00°, γ = 90.00°
Space group Cmc2_1 (No. 36)
Inequivalent atoms, fractional coordinates:
Ba (0.000, 0.116, 0.000)
Ba (0.000, 0.130, 0.613)
Zr (0.000, 0.214, 0.318)
Hg (0.000, 0.459, 0.759)
S (0.000, 0.073, 0.367)
S (0.000, 0.285, 0.951)
S (0.000, 0.300, 0.683)
S (0.000, 0.350, 0.312)
S (0.000, 0.497, 0.079)


(11)
# ZrNiCl

An optimized crystal structure of ZrNiCl (PBE, the Alexandria database).

Values from the calculation:
Calculated volume   126.3 Å³/cell
Density of states at the Fermi level   5.41 states/eV per cell
Excess energy over the best structure of this formula in the dataset   65 meV per atom
Formation energy (no corrections)   -0.417 eV/atom

a = 3.096 Å, b = 3.096 Å, c = 13.178 Å
α = 90.00°, β = 90.00°, γ = 90.00°
Space group I4mm (No. 107)
Inequivalent atoms, fractional coordinates:
Zr (0.000, 0.000, 0.000)
Ni (0.000, 0.000, 0.618)
Cl (0.000, 0.000, 0.368)


(12)
# CaNp2SiO8

An optimized crystal structure of CaNp2SiO8 (PBE, the Alexandria database).

Values from the calculation:
Calculated volume   308.3 Å³/cell
Density of states at the Fermi level   8.01 states/eV per cell
Formation energy (no corrections)   -2.786 eV/atom

a = 6.638 Å, b = 6.907 Å, c = 6.725 Å
α = 90.00°, β = 90.00°, γ = 90.00°
Space group Cmmm (No. 65)
Inequivalent atoms, fractional coordinates:
Ca (0.000, 0.000, 0.000)
Np (0.000, 0.500, 0.264)
Si (0.000, 0.000, 0.500)
O (0.000, 0.272, 0.500)
O (0.000, 0.323, 0.000)
O (0.187, 0.000, 0.302)